(1)
Computed, not measured: a geometry-optimized SrZrCd structure at the GGA-PBE level of DFT.

Unit cell a=5.407 b=10.622 c=3.532 alpha=99.58 beta=90.01 gamma=120.58
Element x y z (fractional)
Cd 0.853 0.839 0.142
Cd 0.942 0.428 0.936
Sr 0.494 0.479 0.462
Sr 0.301 0.787 0.616
Zr 0.668 0.154 0.300
Zr 0.128 0.112 0.779

Computed properties:
formation enthalpy at 0 K = 35.5 meV per atom

---

(2)
Computed, not measured: a geometry-optimized SrZrCd4 structure at the GGA-PBE level of DFT.

Unit cell a=5.928 b=5.928 c=5.928 alpha=60.00 beta=60.00 gamma=60.00
Last column: magnetic moment on the atom in μB.
Element x y z (fractional)
Cd 0.374 0.374 0.374  0.00
Cd 0.374 0.374 0.878  0.00
Cd 0.374 0.878 0.374  0.00
Cd 0.878 0.374 0.374  0.00
Sr 0.750 0.750 0.750  0.02
Zr 0.000 0.000 0.000  0.28

Computed properties:
formation enthalpy at 0 K = -27.7 meV per atom

---

(3)
Computed, not measured: a geometry-optimized Ta4Cd structure at the GGA-PBE level of DFT.

Unit cell a=5.492 b=5.492 c=5.492 alpha=95.75 beta=95.75 gamma=143.09
Element x y z (fractional)
Ta 0.597 0.190 0.786
Ta 0.190 0.403 0.593
Ta 0.403 0.810 0.214
Ta 0.810 0.597 0.407
Cd 0.000 0.000 0.000

Computed properties:
formation enthalpy at 0 K = 204.1 meV per atom

---

(4)
Computed, not measured: a geometry-optimized TaCd3 structure at the GGA-PBE level of DFT.

Unit cell a=5.526 b=5.526 c=2.888 alpha=90.00 beta=90.00 gamma=112.79
Element x y z (fractional)
Cd 0.000 0.000 0.000
Cd 0.500 0.000 0.500
Cd 0.000 0.500 0.500
Ta 0.500 0.500 0.000

Computed properties:
formation enthalpy at 0 K = 276.6 meV per atom

---

(5)
Computed, not measured: a geometry-optimized TaCd2 structure at the GGA-PBE level of DFT.

Unit cell a=5.608 b=5.608 c=7.674 alpha=76.27 beta=76.27 gamma=30.63
Element x y z (fractional)
Cd 0.973 0.973 0.803
Cd 0.027 0.027 0.197
Cd 0.700 0.700 0.853
Cd 0.300 0.300 0.147
Ta 0.361 0.361 0.521
Ta 0.639 0.639 0.479

Computed properties:
formation enthalpy at 0 K = 228.4 meV per atom

---

(6)
Computed, not measured: a geometry-optimized TaCd3 structure at the GGA-PBE level of DFT.

Unit cell a=5.549 b=5.549 c=5.549 alpha=90.00 beta=90.00 gamma=90.00
Last column: magnetic moment on the atom in μB.
Element x y z (fractional)
Cd 0.750 0.500 0.000  0.01
Cd 0.000 0.750 0.500  0.01
Cd 0.500 0.000 0.750  0.01
Cd 0.500 0.000 0.250  0.01
Cd 0.250 0.500 0.000  0.01
Cd 0.000 0.250 0.500  0.01
Ta 0.000 0.000 0.000  0.67
Ta 0.500 0.500 0.500  0.67

Computed properties:
formation enthalpy at 0 K = 674.9 meV per atom

---

(7)
Computed, not measured: a geometry-optimized TaCd4 structure at the GGA-PBE level of DFT.

Unit cell a=5.357 b=5.357 c=5.357 alpha=99.65 beta=99.65 gamma=131.65
Last column: magnetic moment on the atom in μB.
Element x y z (fractional)
Cd 0.602 0.796 0.398  0.02
Cd 0.796 0.398 0.194  0.02
Cd 0.204 0.602 0.806  0.02
Cd 0.398 0.204 0.602  0.02
Ta 0.000 0.000 0.000  0.75

Computed properties:
formation enthalpy at 0 K = 435.3 meV per atom

---

(8)
Computed, not measured: a geometry-optimized TaCd3 structure at the GGA-PBE level of DFT.

Unit cell a=4.581 b=5.960 c=5.954 alpha=90.00 beta=90.00 gamma=90.00
Element x y z (fractional)
Ta 0.500 0.616 0.500
Ta 0.000 0.384 0.000
Cd 0.000 0.843 0.743
Cd 0.000 0.843 0.257
Cd 0.500 0.157 0.757
Cd 0.500 0.683 0.000
Cd 0.500 0.157 0.243
Cd 0.000 0.317 0.500

Computed properties:
formation enthalpy at 0 K = 452.8 meV per atom